Computed, not measured: a relaxed MgMn2As2 crystal at the PBE-GGA level of DFT.

* formation enthalpy at 0 K: -0.10 eV/atom

Cell: 7.1387 7.1387 3.2494 Å, 90.00 90.00 90.00°
With the nearest neighbours (Å) after each atom.
Positions (direct):
Mn 0.3686 0.1314 0.5000  6 As 2.62-2.70, 1 Mn 2.65
Mn 0.8686 0.3686 0.5000  6 As 2.62-2.70, 1 Mn 2.65
Mn 0.1314 0.6314 0.5000  6 As 2.62-2.70, 1 Mn 2.65
Mn 0.6314 0.8686 0.5000  6 As 2.62-2.70, 1 Mn 2.65
Mg 0.0000 0.0000 0.0000  4 As 2.70
Mg 0.5000 0.5000 0.0000  4 As 2.70
As 0.8450 0.6550 0.0000  6 Mn 2.62-2.70, 2 Mg 2.70
As 0.6550 0.1550 0.0000  6 Mn 2.62-2.70, 2 Mg 2.70
As 0.3450 0.8450 0.0000  6 Mn 2.62-2.70, 2 Mg 2.70
As 0.1550 0.3450 0.0000  6 Mn 2.62-2.70, 2 Mg 2.70


Computed, not measured: a relaxed TaSbP crystal at the PBE-GGA level of DFT.

* formation energy (no corrections): -0.19 eV per atom

Cell: 3.3703 3.3703 6.1760 Å, 90.00 90.00 120.00°
With the nearest neighbours (Å) after each atom.
Positions (direct):
P 0.0000 0.0000 0.9496  3 Ta 2.47
Ta 0.6667 0.3333 0.7024  3 P 2.47
Sb 0.3333 0.6667 0.3481  3 Ta 2.93, 3 P 3.14


Computed, not measured: a relaxed LiScOs2 crystal at the PBE-GGA level of DFT.

* formation enthalpy at 0 K: 0.05 eV/atom

Cell: 2.8269 3.9625 5.5030 Å, 90.00 90.00 90.00°
With the nearest neighbours (Å) after each atom.
Positions (direct):
Os 0.5000 0.5000 0.2157  1 Li 2.53, 6 Os 2.66-2.83
Os 0.0000 0.0000 0.0229  2 Sc 2.65-2.85, 6 Os 2.66-2.83, 4 Li 2.84
Li 0.5000 0.5000 0.7562  1 Os 2.53, 4 Sc 2.80, 2 Li 2.83
Sc 0.0000 0.0000 0.5051  6 Os 2.65-2.91, 4 Li 2.80, 2 Sc 2.83


Computed, not measured: a relaxed HoLuOsRh crystal at the PBE-GGA level of DFT.

* formation enthalpy at 0 K: -0.57 eV/atom

Cell: 4.7684 4.7684 4.7684 Å, 60.00 60.00 60.00°
With the nearest neighbours (Å) after each atom.
Positions (direct):
Rh 0.0000 0.0000 0.0000  4 Ho 2.92, 4 Lu 2.92
Lu 0.7500 0.7500 0.7500  4 Rh 2.92, 4 Os 2.92
Os 0.5000 0.5000 0.5000  4 Lu 2.92, 4 Ho 2.92
Ho 0.2500 0.2500 0.2500  4 Os 2.92, 4 Rh 2.92


Computed, not measured: a relaxed Ac5In2S12 crystal at the PBE-GGA level of DFT.

* formation energy (no corrections): -1.45 eV per atom

Cell: 7.6902 8.7173 9.4366 Å, 101.46 90.00 116.17°
With the nearest neighbours (Å) after each atom.
Positions (direct):
S 0.0247 0.0493 0.1940  2 In 2.55
S 0.1015 0.7018 0.4406  4 Ac 2.93-3.06
S 0.5559 0.6220 0.9407  1 S 2.42
S 0.4441 0.3780 0.0593  1 S 2.42
S 0.4864 0.9728 0.8135  2 In 2.66, 1 Ac 2.95
S 0.9339 0.3780 0.0593  1 S 2.42
S 0.9753 0.9507 0.8060  2 In 2.55
S 0.8985 0.2982 0.5594  4 Ac 2.93-3.06
S 0.3997 0.2982 0.5594  4 Ac 2.93-3.06
S 0.6003 0.7018 0.4406  4 Ac 2.93-3.06
S 0.0661 0.6220 0.9407  1 S 2.42
S 0.5136 0.0272 0.1865  2 In 2.66, 1 Ac 2.95
Ac 0.0000 0.0000 0.5000  6 S 2.98-3.00
Ac 0.3268 0.6536 0.1997  7 S 2.93-3.05
Ac 0.2952 0.5903 0.6556  7 S 2.97-3.25
Ac 0.7048 0.4097 0.3444  7 S 2.97-3.25
Ac 0.6732 0.3464 0.8003  7 S 2.93-3.05
In 0.2372 0.0000 0.0000  4 S 2.55-2.66
In 0.7628 0.0000 0.0000  4 S 2.55-2.66


Computed, not measured: a relaxed LiNbIrRu crystal at the PBE-GGA level of DFT.

* formation enthalpy at 0 K: -0.32 eV/atom

Cell: 4.3513 4.3513 4.3513 Å, 60.00 60.00 60.00°
With the nearest neighbours (Å) after each atom.
Positions (direct):
Nb 0.2500 0.2500 0.2500  4 Ru 2.66, 4 Ir 2.66
Ru 0.5000 0.5000 0.5000  4 Nb 2.66, 4 Li 2.66
Li 0.7500 0.7500 0.7500  4 Ir 2.66, 4 Ru 2.66
Ir 0.0000 0.0000 0.0000  4 Li 2.66, 4 Nb 2.66


Computed, not measured: a relaxed Cr2OsAu crystal at the PBE-GGA level of DFT.

* formation enthalpy at 0 K: 0.29 eV/atom

Cell: 2.7653 3.7058 5.5648 Å, 90.00 90.00 90.00°
With the nearest neighbours (Å) after each atom.
Positions (direct):
Cr 0.5000 0.5000 0.2549  4 Os 2.56, 6 Cr 2.62-2.77, 2 Au 2.76-2.81
Cr 0.0000 0.0000 0.0330  1 Os 2.33
Au 0.5000 0.5000 0.7597  6 Cr 2.76-2.81, 2 Au 2.77, 4 Os 2.88
Os 0.0000 0.0000 0.4523  5 Cr 2.33-2.56


Computed, not measured: a relaxed TbScNiRu crystal at the PBE-GGA level of DFT.

* formation enthalpy at 0 K: -0.47 eV/atom

Cell: 3.3131 3.3131 6.5658 Å, 90.00 90.00 90.00°
With the nearest neighbours (Å) after each atom.
Positions (direct):
Sc 0.5000 0.5000 0.6049  4 Ru 2.78, 4 Ni 2.80
Tb 0.5000 0.5000 0.1081  4 Ru 2.94, 4 Ni 2.94, 1 Sc 3.26
Ru 0.0000 0.0000 0.3778  4 Sc 2.78, 4 Tb 2.94, 1 Ni 3.02
Ni 0.0000 0.0000 0.8372  4 Sc 2.80, 4 Tb 2.94, 1 Ru 3.02


Computed, not measured: a relaxed BaTlGaPb crystal at the PBE-GGA level of DFT.

* formation enthalpy at 0 K: -0.26 eV/atom

Cell: 5.6445 5.6445 5.6445 Å, 60.00 60.00 60.00°
With the nearest neighbours (Å) after each atom.
Positions (direct):
Ga 0.2500 0.2500 0.2500  4 Pb 3.46, 4 Ba 3.46
Pb 0.0000 0.0000 0.0000  4 Tl 3.46, 4 Ga 3.46
Ba 0.5000 0.5000 0.5000  4 Ga 3.46, 4 Tl 3.46
Tl 0.7500 0.7500 0.7500  4 Ba 3.46, 4 Pb 3.46


Computed, not measured: a relaxed YCdAg3 crystal at the PBE-GGA level of DFT.

* formation enthalpy at 0 K: 0.84 eV/atom

Cell: 5.5538 5.5538 5.5538 Å, 90.00 90.00 90.00°
With the nearest neighbours (Å) after each atom.
Positions (direct):
Ag 0.5000 0.0000 0.0000  2 Y 2.78
Ag 0.0000 0.5000 0.0000  2 Y 2.78
Ag 0.0000 0.0000 0.5000  2 Y 2.78
Y 0.0000 0.0000 0.0000  6 Ag 2.78
Cd 0.5000 0.5000 0.5000  12 Ag 3.93


Computed, not measured: a relaxed ThBiBr2F6 crystal at the PBE-GGA level of DFT.

* formation energy (no corrections): -2.55 eV per atom

Cell: 6.5169 6.5265 6.5222 Å, 59.97 60.03 90.00°
With the nearest neighbours (Å) after each atom.
Positions (direct):
Br 0.7499 0.2499 0.5001  12 F 3.26
Br 0.2501 0.7501 0.4999  12 F 3.26
Th 0.5000 0.5000 0.0000  6 F 2.28
F 0.7470 0.2530 0.0000  1 Th 2.28, 1 Bi 2.33
F 0.7470 0.7470 0.5060  1 Th 2.28, 1 Bi 2.33
F 0.2530 0.7470 0.0000  1 Th 2.28, 1 Bi 2.33
F 0.7471 0.7470 0.0000  1 Th 2.28, 1 Bi 2.33
F 0.2529 0.2530 0.0000  1 Th 2.28, 1 Bi 2.33
F 0.2530 0.2530 0.4940  1 Th 2.28, 1 Bi 2.33
Bi 0.0000 0.0000 0.0000  6 F 2.33


Computed, not measured: a relaxed K2IrPt crystal at the PBE-GGA level of DFT.

* formation enthalpy at 0 K: 0.63 eV/atom

Cell: 5.2737 4.0053 4.0053 Å, 90.00 90.00 90.00°
With the nearest neighbours (Å) after each atom.
Positions (direct):
Ir 0.5000 0.0000 0.5000  4 Pt 2.83
K 0.0000 0.5000 0.5000  4 K 2.83
K 0.0000 0.0000 0.0000  4 K 2.83
Pt 0.5000 0.5000 0.0000  4 Ir 2.83


Computed, not measured: a relaxed TcAs2Ru crystal at the PBE-GGA level of DFT.

* formation enthalpy at 0 K: 0.30 eV/atom

Cell: 3.0236 3.0236 7.9718 Å, 90.00 90.00 120.00°
With the nearest neighbours (Å) after each atom.
Positions (direct):
As 0.0000 0.0000 0.4989  2 Ru 2.49, 2 Tc 2.51
As 0.0000 0.0000 0.0011  2 Ru 2.49, 2 Tc 2.51
Ru 0.5000 0.5000 0.2500  4 As 2.49
Tc 0.5000 0.5000 0.7500  4 As 2.51


Computed, not measured: a relaxed PmGd2Ho crystal at the PBE-GGA level of DFT.

* formation enthalpy at 0 K: 0.02 eV/atom

Cell: 5.0762 5.0599 5.0599 Å, 90.00 90.00 90.00°
With the nearest neighbours (Å) after each atom.
Positions (direct):
Gd 0.0000 0.5000 0.0000  4 Gd 3.58, 4 Ho 3.58, 4 Pm 3.58
Gd 0.0000 0.0000 0.5000  4 Gd 3.58, 4 Ho 3.58, 4 Pm 3.58
Pm 0.5000 0.0000 0.0000  4 Ho 3.58, 8 Gd 3.58
Ho 0.5000 0.5000 0.5000  4 Pm 3.58, 8 Gd 3.58


Computed, not measured: a relaxed TeRh2Au crystal at the PBE-GGA level of DFT.

* formation energy (no corrections): 0.11 eV per atom

Cell: 3.7185 3.7185 5.3591 Å, 90.00 90.00 90.00°
With the nearest neighbours (Å) after each atom.
Positions (direct):
Rh 0.0000 0.0000 0.9323  2 Te 2.67-2.69, 4 Au 2.69
Rh 0.5000 0.5000 0.3146  2 Au 2.64-2.72, 4 Te 2.70
Te 0.0000 0.0000 0.4311  6 Rh 2.67-2.70
Au 0.5000 0.5000 0.8220  6 Rh 2.64-2.72


Computed, not measured: a relaxed K3TcF7 crystal at the PBE-GGA level of DFT.

* formation energy (no corrections): -2.46 eV per atom

Cell: 6.1741 6.1741 6.5010 Å, 62.94 62.94 88.36°
With the nearest neighbours (Å) after each atom.
Positions (direct):
F 0.2887 0.0084 0.7282  1 Tc 2.01
F 0.0084 0.2887 0.7282  1 Tc 2.01
F 0.1243 0.1243 0.1547  1 Tc 2.06
F 0.6875 0.6875 0.4213  1 Tc 2.09
F 0.8012 0.8012 0.9020  1 Tc 2.05
F 0.6686 0.1087 0.1702  1 Tc 2.01
F 0.1087 0.6686 0.1702  1 Tc 2.01
K 0.2282 0.7612 0.4928  7 F 2.64-2.88
K 0.4916 0.4916 0.9528  5 F 2.55-2.71
K 0.7612 0.2282 0.4928  7 F 2.64-2.88
Tc 0.9565 0.9565 0.0369  7 F 2.01-2.09


Computed, not measured: a relaxed BPt3Pb crystal at the PBE-GGA level of DFT.

* formation enthalpy at 0 K: -0.17 eV/atom

Cell: 3.9390 8.0429 10.5902 Å, 90.00 90.00 90.00°
With the nearest neighbours (Å) after each atom.
Positions (direct):
Pt 0.7500 0.6561 0.2285  2 B 2.22-2.23
Pt 0.2500 0.3439 0.7715  2 B 2.22-2.23
Pt 0.7500 0.0977 0.7545  2 B 2.19
Pt 0.7500 0.1561 0.2715  2 B 2.22-2.23
Pt 0.2500 0.6103 0.0354  1 B 2.11
Pt 0.7500 0.5977 0.7455  2 B 2.19
Pt 0.7500 0.8897 0.5354  1 B 2.11
Pt 0.7500 0.3897 0.9646  1 B 2.11
Pt 0.2500 0.1103 0.4646  1 B 2.11
Pt 0.2500 0.4023 0.2545  2 B 2.19
Pt 0.2500 0.8439 0.7285  2 B 2.22-2.23
Pt 0.2500 0.9023 0.2455  2 B 2.19
B 0.2500 0.1060 0.6640  5 Pt 2.11-2.23
B 0.7500 0.8940 0.3360  5 Pt 2.11-2.23
B 0.7500 0.3940 0.1640  5 Pt 2.11-2.23
B 0.2500 0.6060 0.8360  5 Pt 2.11-2.23
Pb 0.7500 0.3440 0.5393  6 Pt 2.84-3.15, 2 B 3.05
Pb 0.7500 0.8440 0.9607  6 Pt 2.84-3.15, 2 B 3.05
Pb 0.2500 0.6560 0.4607  6 Pt 2.84-3.15, 2 B 3.05
Pb 0.2500 0.1560 0.0393  6 Pt 2.84-3.15, 2 B 3.05


Computed, not measured: a relaxed YHfZn2Cr crystal at the PBE-GGA level of DFT.

* formation enthalpy at 0 K: 0.74 eV/atom

Cell: 5.0782 4.6520 5.0782 Å, 90.00 90.00 90.00°
With the nearest neighbours (Å) after each atom.
Positions (direct):
Cr 0.0000 0.5000 0.0000  2 Hf 2.33
Zn 0.5000 0.0000 0.0000  2 Hf 2.54
Zn 0.0000 0.0000 0.5000  2 Hf 2.54
Hf 0.0000 0.0000 0.0000  2 Cr 2.33, 4 Zn 2.54
Y 0.5000 0.5000 0.5000  8 Zn 3.44, 4 Cr 3.59


Computed, not measured: a relaxed KBaOs crystal at the PBE-GGA level of DFT.

* formation enthalpy at 0 K: 1.15 eV/atom

Cell: 8.8279 8.8279 3.5665 Å, 78.35 78.35 23.31°
With the nearest neighbours (Å) after each atom.
Positions (direct):
Os 0.6602 0.6602 0.3398  4 Ba 3.13, 4 K 3.34
Ba 0.0503 0.0503 0.9497  4 Os 3.13
K 0.2894 0.2894 0.7106  4 Os 3.34, 4 K 3.57


Computed, not measured: a relaxed CsLaAg2W crystal at the PBE-GGA level of DFT.

* formation enthalpy at 0 K: 1.37 eV/atom

Cell: 5.2240 5.4235 5.2240 Å, 90.00 90.00 90.00°
With the nearest neighbours (Å) after each atom.
Positions (direct):
Ag 0.0000 0.0000 0.5000  2 W 2.61
Ag 0.5000 0.0000 0.0000  2 W 2.61
Cs 0.0000 0.5000 0.0000  2 W 2.71
W 0.0000 0.0000 0.0000  4 Ag 2.61, 2 Cs 2.71
La 0.5000 0.5000 0.5000  4 Cs 3.69, 8 Ag 3.77